(1)
{"formula": "NaMg14Nb", "functional": "PBE-GGA", "state": "relaxed", "lattice": [[4.4652, -4.5034, 0.0000], [4.4652, 4.5034, 0.0000], [0.0000, 0.0000, 8.9955]], "species": ["Na", "Mg", "Mg", "Mg", "Mg", "Mg", "Mg", "Mg", "Mg", "Mg", "Mg", "Mg", "Mg", "Mg", "Mg", "Nb"], "fractional_positions": [[0.0000, 0.0000, 0.0000], [0.0000, 0.0000, 0.5000], [0.0000, 0.5000, 0.0000], [0.0000, 0.5000, 0.5000], [0.2618, 0.2618, 0.2454], [0.2618, 0.2618, 0.7546], [0.2627, 0.7373, 0.2454], [0.2627, 0.7373, 0.7546], [0.5000, 0.0000, 0.0000], [0.5000, 0.0000, 0.5000], [0.5000, 0.5000, 0.5000], [0.7373, 0.2627, 0.2454], [0.7373, 0.2627, 0.7546], [0.7382, 0.7382, 0.2454], [0.7382, 0.7382, 0.7546], [0.5000, 0.5000, 0.0000]], "formation_enthalpy_0k_ev_per_atom": 0.0870, "volume_a3_per_atom": 22.61, "spacegroup": "No. 65", "final_energy_ev_per_atom": -2.020}

***

(2)
{"formula": "NaMg6Nb", "functional": "PBE-GGA", "state": "relaxed", "lattice": [[6.2967, 0.0000, 0.0000], [0.0000, 6.2967, 0.0000], [0.0000, 0.0000, 4.5136]], "species": ["Na", "Mg", "Mg", "Mg", "Mg", "Mg", "Mg", "Nb"], "fractional_positions": [[0.0000, 0.0000, 0.0000], [0.0000, 0.5000, 0.0000], [0.2667, 0.2667, 0.5000], [0.2667, 0.7333, 0.5000], [0.5000, 0.0000, 0.0000], [0.7333, 0.2667, 0.5000], [0.7333, 0.7333, 0.5000], [0.5000, 0.5000, 0.0000]], "formation_enthalpy_0k_ev_per_atom": 0.1698, "volume_a3_per_atom": 22.37, "spacegroup": "No. 123", "final_energy_ev_per_atom": -2.450}

***

(3)
{"formula": "NaMgNbO4", "functional": "PBE-GGA", "state": "relaxed", "lattice": [[3.2152, -4.8523, 0.0000], [3.2152, 4.8523, 0.0000], [0.0000, 0.0000, 6.6443]], "species": ["Na", "Na", "Mg", "Mg", "Nb", "Nb", "O", "O", "O", "O", "O", "O", "O", "O"], "fractional_positions": [[0.0000, 0.0000, 0.0000], [0.0000, 0.0000, 0.5000], [0.3472, 0.6528, 0.7500], [0.6528, 0.3472, 0.2500], [0.3600, 0.6400, 0.2500], [0.6400, 0.3600, 0.7500], [0.2546, 0.7454, 0.0110], [0.2546, 0.7454, 0.4890], [0.2780, 0.2942, 0.2500], [0.2942, 0.2780, 0.7500], [0.7058, 0.7220, 0.2500], [0.7220, 0.7058, 0.7500], [0.7454, 0.2546, 0.5110], [0.7454, 0.2546, 0.9890]], "volume_a3_per_atom": 14.81, "spacegroup": "No. 63", "final_energy_ev_per_atom": -7.069, "raw_formation_energy_ev_per_atom": -2.381}

***

(4)
{"formula": "NaPrMgNbO6", "functional": "PBE-GGA", "state": "relaxed", "lattice": [[0.0000, 3.9944, 3.9944], [3.9944, 0.0000, 3.9944], [3.9944, 3.9944, 0.0000]], "species": ["Na", "Pr", "Mg", "Nb", "O", "O", "O", "O", "O", "O"], "fractional_positions": [[0.0000, 0.0000, 0.0000], [0.5000, 0.5000, 0.5000], [0.2500, 0.2500, 0.2500], [0.7500, 0.7500, 0.7500], [0.5012, 0.5012, 0.9988], [0.5012, 0.9988, 0.5012], [0.5012, 0.9988, 0.9988], [0.9988, 0.5012, 0.5012], [0.9988, 0.5012, 0.9988], [0.9988, 0.9988, 0.5012]], "volume_a3_per_atom": 12.75, "spacegroup": "No. 216", "final_energy_ev_per_atom": -7.173, "raw_formation_energy_ev_per_atom": -2.422}

***

(5)
{"formula": "NaMgNb2Tc", "functional": "PBE-GGA", "state": "relaxed", "lattice": [[4.8174, 0.0000, 0.0000], [0.0000, 4.8174, 0.0000], [0.0000, 0.0000, 5.2990]], "species": ["Na", "Mg", "Nb", "Nb", "Tc"], "fractional_positions": [[0.0000, 0.0000, 0.0000], [0.5000, 0.5000, 0.0000], [0.0000, 0.5000, 0.5000], [0.5000, 0.0000, 0.5000], [0.5000, 0.5000, 0.5000]], "formation_enthalpy_0k_ev_per_atom": 0.8475, "volume_a3_per_atom": 24.60, "spacegroup": "No. 123", "final_energy_ev_per_atom": -5.836}

***

(6)
{"formula": "Na2MgTiNb", "functional": "PBE-GGA", "state": "relaxed", "lattice": [[5.5781, 0.0000, 0.0000], [0.0000, 5.5781, 0.0000], [0.0000, 0.0000, 4.5715]], "species": ["Na", "Na", "Mg", "Ti", "Nb"], "fractional_positions": [[0.0000, 0.5000, 0.0000], [0.5000, 0.0000, 0.0000], [0.0000, 0.0000, 0.5000], [0.5000, 0.5000, 0.0000], [0.5000, 0.5000, 0.5000]], "formation_enthalpy_0k_ev_per_atom": 1.1319, "volume_a3_per_atom": 28.45, "spacegroup": "No. 123", "final_energy_ev_per_atom": -3.308}